Below is a geometry-optimized In2NiI8 structure, with properties calculated at the GGA-PBE level.

Properties
raw formation energy: -354 meV per atom

```
data_In2NiI8
_cell_length_a 15.839
_cell_length_b 8.248
_cell_length_c 9.943
_cell_angle_alpha 90.00
_cell_angle_beta 107.77
_cell_angle_gamma 90.00
_space_group_name_H-M_alt 'C 1 2/m 1'
_space_group_IT_number 12
loop_
_space_group_symop_operation_xyz
'x,y,z'
'-x,-y,-z'
'-x,y,-z'
'x,-y,z'
'x+1/2,y+1/2,z'
'-x+1/2,-y+1/2,-z'
'-x+1/2,y+1/2,-z'
'x+1/2,-y+1/2,z'
loop_
_atom_site_label
_atom_site_type_symbol
_atom_site_fract_x
_atom_site_fract_y
_atom_site_fract_z
_atom_site_occupancy
In1 In 0.222 0.000 0.320 1
Ni1 Ni 0.000 0.000 0.000 1
I1 I 0.098 0.221 0.142 1
I2 I 0.117 0.500 0.719 1
I3 I 0.208 0.000 0.587 1
```

***

Below is a geometry-optimized InNi2I structure, with properties calculated at the GGA-PBE level.

Properties
raw formation energy: 390 meV per atom
ΔE to the lowest computed polymorph: 0 meV/atom

```
data_InNi2I
_cell_length_a 5.088
_cell_length_b 5.088
_cell_length_c 14.188
_cell_angle_alpha 90.00
_cell_angle_beta 90.00
_cell_angle_gamma 90.00
_space_group_name_H-M_alt 'I -4 2 d'
_space_group_IT_number 122
_space_group_name_Hall 'I -4 2bw'
loop_
_atom_site_label
_atom_site_type_symbol
_atom_site_fract_x
_atom_site_fract_y
_atom_site_fract_z
_atom_site_occupancy
In1 In 0.000 0.000 0.000 1
Ni1 Ni 0.221 0.250 0.625 1
I1 I 0.000 0.000 0.500 1
```

***

Below is a geometry-optimized InNi2I2 structure, with properties calculated at the GGA-PBE level.

Properties
raw formation energy: 402 meV per atom

```
data_InNi2I2
_cell_length_a 7.477
_cell_length_b 7.477
_cell_length_c 3.906
_cell_angle_alpha 90.00
_cell_angle_beta 90.00
_cell_angle_gamma 90.00
_space_group_name_H-M_alt 'P 4/m b m'
_space_group_IT_number 127
_space_group_name_Hall '-P 4 2ab'
loop_
_atom_site_label
_atom_site_type_symbol
_atom_site_fract_x
_atom_site_fract_y
_atom_site_fract_z
_atom_site_occupancy
In1 In 0.000 0.000 0.000 1
Ni1 Ni 0.118 0.382 0.000 1
I1 I 0.173 0.673 0.500 1
```

***

Below is a geometry-optimized InNi3I structure, with properties calculated at the GGA-PBE level.

Properties
raw formation energy: 1067 meV per atom

```
data_InNi3I
_cell_length_a 4.757
_cell_length_b 4.757
_cell_length_c 4.757
_cell_angle_alpha 90.00
_cell_angle_beta 90.00
_cell_angle_gamma 90.00
_space_group_name_H-M_alt 'P m -3 m'
_space_group_IT_number 221
_space_group_name_Hall '-P 4 2 3'
loop_
_atom_site_label
_atom_site_type_symbol
_atom_site_fract_x
_atom_site_fract_y
_atom_site_fract_z
_atom_site_occupancy
In1 In 0.000 0.000 0.000 1
Ni1 Ni 0.000 0.000 0.500 1
I1 I 0.500 0.500 0.500 1
```

***

Below is a geometry-optimized InNiI3 structure, with properties calculated at the GGA-PBE level.

Properties
raw formation energy: 539 meV per atom
ΔE to the lowest computed polymorph: 667 meV/atom

```
data_InNiI3
_cell_length_a 5.937
_cell_length_b 5.937
_cell_length_c 5.937
_cell_angle_alpha 90.00
_cell_angle_beta 90.00
_cell_angle_gamma 90.00
_space_group_name_H-M_alt 'P m -3 m'
_space_group_IT_number 221
_space_group_name_Hall '-P 4 2 3'
loop_
_atom_site_label
_atom_site_type_symbol
_atom_site_fract_x
_atom_site_fract_y
_atom_site_fract_z
_atom_site_occupancy
In1 In 0.000 0.000 0.000 1
Ni1 Ni 0.500 0.500 0.500 1
I1 I 0.000 0.000 0.500 1
```

***

Below is a geometry-optimized In3NiI structure, with properties calculated at the GGA-PBE level.

Properties
raw formation energy: 1061 meV per atom
ΔE to the lowest computed polymorph: 1283 meV/atom

```
data_In3NiI
_cell_length_a 6.313
_cell_length_b 6.313
_cell_length_c 6.313
_cell_angle_alpha 90.00
_cell_angle_beta 90.00
_cell_angle_gamma 90.00
_space_group_name_H-M_alt 'P m -3 m'
_space_group_IT_number 221
_space_group_name_Hall '-P 4 2 3'
loop_
_atom_site_label
_atom_site_type_symbol
_atom_site_fract_x
_atom_site_fract_y
_atom_site_fract_z
_atom_site_occupancy
In1 In 0.000 0.000 0.500 1
Ni1 Ni 0.500 0.500 0.500 1
I1 I 0.000 0.000 0.000 1
```